8
Lattice="2.9605 0.0000 0.0000 0.0000 4.8962 0.0000 0.0000 0.0000 6.4892" Properties=species:S:1:pos:R:3 comment="TaOsNO | the Open Quantum Materials Database | GGA-PBE | optimized geometry" e_above_lowest_polymorph_ev_per_atom=0.2564 total_magnetization_mub_per_fu=0.00 pbc="T T T"
Ta 0.0000 0.9204 0.0000
Ta 0.0000 3.9758 3.2446
Os 1.4803 1.4166 3.2811
Os 1.4803 3.4796 0.0365
N 0.0000 0.7666 4.4966
N 0.0000 4.1297 1.2520
O 1.4803 1.6230 1.2470
O 1.4803 3.2732 4.4916